FeOsO: relaxed, PBE with a Hubbard U.

D(E_F)   7.6 states/eV per cell
ΔE to the lowest computed polymorph   178.8 meV per atom
DFT total energy   -7.4123 eV per atom

Lattice parameters (Å, degrees): 7.1273 2.8682 10.5134 90.00 132.51 90.00
Closest atoms and distances in Å follow each position.
Fractional positions:
Fe (0.5026, 0.0000, 0.5896)  3 O 1.98-2.13
Fe (0.5026, 0.5000, 0.0896)  3 O 1.98-2.13
Fe (0.0615, 0.0000, 0.2816)  1 O 1.99
Fe (0.0615, 0.5000, 0.7816)  1 O 1.99
Os (0.4248, 0.0000, 0.8062)  2 O 1.95-2.14
Os (0.4248, 0.5000, 0.3062)  2 O 1.95-2.14
Os (0.1143, 0.0000, 0.0346)  1 O 1.93
Os (0.1143, 0.5000, 0.5346)  1 O 1.93
O (0.6865, 0.0000, 0.0826)  3 Fe 1.98-1.99, 1 Os 2.14
O (0.6865, 0.5000, 0.5826)  3 Fe 1.98-1.99, 1 Os 2.14
O (0.7477, 0.0000, 0.8630)  2 Os 1.93-1.95, 1 Fe 2.13
O (0.7477, 0.5000, 0.3630)  2 Os 1.93-1.95, 1 Fe 2.13